The following is a PBE calculation of a relaxed Ta2InPb crystal, from Alexandria via LeMat-Bulk.

Calculated values
Raw total energy (eV per atom): -7.0896
Size of the total moment (Bohr magnetons per cell): 0.0
Crystal system: monoclinic
Calculated formation energy (eV per formula unit): 1.79

a = 3.069 Å, b = 4.782 Å, c = 5.765 Å
α = 90.00°, β = 97.69°, γ = 90.00°
Space group P2/m (No. 10)
Symmetry-distinct sites (fractional):
Ta 0.206 0.000 0.233
In 0.500 0.500 0.000
Pb 0.000 0.500 0.500